An optimized crystal structure of MgWN2O, computed with PBE with a Hubbard U.

Properties
Symmetry ... P4/mmm (123)
DFT total energy ... -5.0390 eV/atom
ρ ... 7.40 Mg/m³
Total moment ... 1.27 μB/f.u.

Cell and atoms, written as POSCAR:
```
MgWN2O
1.0
3.866 0.000 0.000
0.000 3.866 0.000
0.000 0.000 3.784
Mg W N O
1 1 2 1
Cartesian
0.000 0.000 0.000 Mg
1.933 1.933 1.892 W
0.000 1.933 0.000 N
1.933 0.000 0.000 N
0.000 0.000 1.892 O
```